Record 1
Compound: BiPHNO
Source: the Alexandria database
Functional: PBE
Structure: optimized geometry

Output
Size of the total moment   0.0 μB/cell
Space-group type   P1 (1)
Electronic total energy   -5.653 eV/atom
ΔE to the lowest computed polymorph   0.026 eV per atom

```
BiPHNO
1.0
4.2881 0.0000 0.0000
1.7246 4.2627 0.0000
1.4242 1.6963 4.4291
Bi P H N O
1 1 1 1 1
direct
0.0000 0.0000 0.0000 Bi
0.4604 0.3729 0.6652 P
0.4271 0.9233 0.4893 H
0.2779 0.7704 0.6370 N
0.5625 0.3494 0.3461 O
```

***

Record 2
Compound: CrMo2Ir
Source: the Alexandria database
Functional: PBE
Structure: optimized geometry

Output
Size of the total moment   0.0 μB/cell
Space-group type   P4/mmm (123)
ΔE_f   0.017 eV/atom
Electronic total energy   -10.020 eV/atom
ΔE to the lowest computed polymorph   0.001 eV per atom

```
CrMo2Ir
1.0
3.8651 0.0000 0.0000
0.0000 3.8651 0.0000
0.0000 0.0000 3.9039
Cr Mo Ir
1 2 1
direct
0.0000 0.0000 0.0000 Cr
0.0000 0.5000 0.5000 Mo
0.5000 0.0000 0.5000 Mo
0.5000 0.5000 0.0000 Ir
```